Material: Li2PN
Method: DFT, PBE
State: optimized geometry

```
Li2PN
1.0
-3.145 -2.310 0.729
-2.354 0.773 3.101
-3.668 1.396 -0.592
P Li N
1 2 1
direct
0.500 0.500 0.500
0.250 0.250 0.250
0.750 0.750 0.750
0.000 0.000 0.000
```

Values from the calculation:
Its density of states at the Fermi level is 1.56 states/eV per cell. As for the total energy: -15.74 eV per formula unit. Its space group is Fm-3m (225). The value obtained for the formation energy (no corrections) is 0.456 eV per atom.

=====

Material: LiPN2
Method: DFT, PBE
State: optimized geometry

```
LiPN2
1.0
-2.466 -3.882 3.692
-0.413 -5.290 2.574
0.068 -3.606 4.667
P Li N
1 1 2
direct
0.500 0.500 0.500
0.000 0.000 0.000
0.889 0.889 0.889
0.111 0.111 0.111
```

Values from the calculation:
Its density of states at the Fermi level is 0.00 states/eV per cell. As for the total energy: -24.86 eV per formula unit. Its space group is R-3m (166). The value obtained for the formation energy (no corrections) is -0.222 eV per atom.

=====

Material: Li3Pa2PN6
Method: DFT, PBE
State: optimized geometry

```
Li3Pa2PN6
1.0
-5.213 1.885 -2.001
2.127 -5.446 -0.738
-1.395 -0.523 5.067
Li Pa P N
3 2 1 6
direct
0.112 0.888 0.500
0.888 0.112 0.500
0.500 0.500 0.500
0.338 0.662 0.000
0.662 0.338 0.000
0.000 0.000 0.000
0.939 0.677 0.803
0.734 0.734 0.218
0.061 0.323 0.197
0.677 0.939 0.803
0.266 0.266 0.782
0.323 0.061 0.197
```

Values from the calculation:
As for the total energy: -88.80 eV per formula unit. Its space group is C2/m (12). The value obtained for the formation energy (no corrections) is -0.726 eV per atom.

=====

Material: LiPa2PN6
Method: DFT, PBE
State: optimized geometry

```
LiPa2PN6
1.0
4.705 0.000 0.000
0.000 5.003 0.000
0.000 0.000 5.003
Li Pa P N
1 2 1 6
direct
0.574 0.500 0.500
0.029 0.500 0.000
0.029 0.000 0.500
0.583 0.000 0.000
0.715 0.228 0.228
0.715 0.228 0.772
0.141 0.500 0.500
0.230 0.000 0.000
0.715 0.772 0.772
0.715 0.772 0.228
```

Values from the calculation:
Its density of states at the Fermi level is 4.99 states/eV per cell. As for the total energy: -82.42 eV per formula unit. Its space group is P4mm (99). The value obtained for the formation energy (no corrections) is -0.615 eV per atom.

=====

Material: Li3Pa3PN8
Method: DFT, PBE
State: optimized geometry

```
Li3Pa3PN8
1.0
-4.594 4.133 3.223
-0.362 -1.104 -6.636
-0.992 -4.594 4.477
Li Pa P N
3 3 1 8
direct
0.000 0.000 0.000
0.000 0.500 0.000
0.500 0.500 0.000
0.500 0.000 0.500
0.500 0.500 0.500
0.000 0.500 0.500
0.000 0.000 0.500
0.256 0.511 0.288
0.744 0.489 0.712
0.805 0.611 0.293
0.195 0.389 0.707
0.775 0.016 0.293
0.225 0.984 0.707
0.241 0.016 0.293
0.759 0.984 0.707
```

Values from the calculation:
Its density of states at the Fermi level is 5.68 states/eV per cell. As for the total energy: -117.26 eV per formula unit. Its space group is C2/m (12). The value obtained for the formation energy (no corrections) is -0.734 eV per atom.

=====

Material: LiP2PbN
Method: DFT, PBE
State: optimized geometry

```
LiP2PbN
1.0
-2.526 0.839 3.948
0.617 -3.528 1.144
3.960 1.417 2.233
Pb P Li N
1 2 1 1
direct
0.500 0.500 0.500
0.000 0.000 0.500
0.500 0.000 0.000
0.000 0.000 0.000
0.000 0.500 0.000
```

Values from the calculation:
Its density of states at the Fermi level is 3.50 states/eV per cell. As for the total energy: -19.37 eV per formula unit. Its space group is P4/mmm (123). The value obtained for the formation energy (no corrections) is 1.079 eV per atom.

=====

> Among the records above, which one has the lowest formation energy (no corrections)?

Li3Pa3PN8

=====

> Among the records above, which one has the highest formation energy (no corrections)?

LiP2PbN

=====

> formation energy (no corrections) of number 5 (Li3Pa3PN8)?

-0.734 eV per atom